Entry from Alexandria via LeMat-Bulk: an optimized crystal structure of Sm4Fe (PBE-GGA).

Cell lengths 5.3688, 5.3688, 5.3688 Å; angles 90.00, 90.00, 90.00 degrees
Fractional coordinates of all 5 atoms:
Fe (0.5000, 0.5000, 0.5000)
Sm (0.5000, 0.0000, 0.5000)
Sm (0.0000, 0.5000, 0.5000)
Sm (0.5000, 0.5000, 0.0000)
Sm (0.0000, 0.0000, 0.0000)

Values from the calculation:
N(E_F) (states/eV/cell): 9.56
Space-group type: Pm-3m
E_form (eV per formula unit): 0.9

Entry from Alexandria via LeMat-Bulk: an optimized crystal structure of PrSm2Tl3 (PBE-GGA).

Cell lengths 3.8602, 3.8602, 11.8334 Å; angles 90.00, 90.00, 90.00 degrees
Fractional coordinates of all 6 atoms:
Sm (0.5000, 0.5000, 0.8361)
Sm (0.5000, 0.5000, 0.1639)
Tl (0.0000, 0.0000, 0.3271)
Tl (0.0000, 0.0000, 0.0000)
Tl (0.0000, 0.0000, 0.6729)
Pr (0.5000, 0.5000, 0.5000)

Values from the calculation:
N(E_F) (states/eV/cell): 5.46
Space-group type: P4/mmm
E_form (eV per formula unit): -2.3

Entry from Alexandria via LeMat-Bulk: an optimized crystal structure of BaBeAgF5 (PBE-GGA).

Cell lengths 6.4761, 6.4761, 7.0589 Å; angles 99.68, 99.68, 112.17 degrees
Fractional coordinates of all 16 atoms:
F (0.5338, 0.7089, 0.9210)
F (0.8862, 0.1138, 0.7500)
F (0.1138, 0.8862, 0.2500)
F (0.3698, 0.8877, 0.6552)
F (0.7089, 0.5338, 0.4210)
F (0.4662, 0.2911, 0.0790)
F (0.8877, 0.3698, 0.1552)
F (0.1123, 0.6302, 0.8448)
F (0.6302, 0.1123, 0.3448)
F (0.2911, 0.4662, 0.5790)
Ag (0.0000, 0.0000, 0.5000)
Ag (0.0000, 0.0000, 0.0000)
Be (0.3224, 0.6776, 0.7500)
Be (0.6776, 0.3224, 0.2500)
Ba (0.3506, 0.6494, 0.2500)
Ba (0.6494, 0.3506, 0.7500)

Values from the calculation:
Energy relative to the elements, uncorrected (meV/atom): -2929
N(E_F) (states/eV/cell): 0.00
Space-group type: C2/c

Entry from Alexandria via LeMat-Bulk: an optimized crystal structure of VZn3Pd12 (PBE-GGA).

Cell lengths 3.8984, 3.8984, 15.6961 Å; angles 90.00, 90.00, 90.00 degrees
Fractional coordinates of all 16 atoms:
Pd (0.0000, 0.5000, 0.6255)
Pd (0.5000, 0.5000, 0.5000)
Pd (0.5000, 0.5000, 0.2471)
Pd (0.0000, 0.5000, 0.1205)
Pd (0.5000, 0.0000, 0.6255)
Pd (0.0000, 0.5000, 0.3745)
Pd (0.5000, 0.5000, 0.7529)
Pd (0.5000, 0.0000, 0.1205)
Pd (0.0000, 0.5000, 0.8795)
Pd (0.5000, 0.5000, 0.0000)
Pd (0.5000, 0.0000, 0.3745)
Pd (0.5000, 0.0000, 0.8795)
Zn (0.0000, 0.0000, 0.2512)
Zn (0.0000, 0.0000, 0.5000)
Zn (0.0000, 0.0000, 0.7488)
V (0.0000, 0.0000, 0.0000)

Values from the calculation:
N(E_F) (states/eV/cell): 19.92
Space-group type: P4/mmm
E_form (eV per formula unit): -4.8

Entry from Alexandria via LeMat-Bulk: an optimized crystal structure of Ta2TiPW (PBE-GGA).

Cell lengths 4.7294, 4.3230, 4.7294 Å; angles 90.00, 90.00, 90.00 degrees
Fractional coordinates of all 5 atoms:
P (0.0000, 0.5000, 0.0000)
W (0.5000, 0.5000, 0.5000)
Ti (0.0000, 0.0000, 0.0000)
Ta (0.0000, 0.0000, 0.5000)
Ta (0.5000, 0.0000, 0.0000)

Values from the calculation:
N(E_F) (states/eV/cell): 6.00
Space-group type: P4/mmm
E_form (eV per formula unit): 7.5

Entry from Alexandria via LeMat-Bulk: an optimized crystal structure of SrPm5Pb4 (PBE-GGA).

Cell lengths 4.6360, 8.3846, 9.6867 Å; angles 102.95, 103.85, 90.00 degrees
Fractional coordinates of all 10 atoms:
Pm (0.5000, 0.5000, 0.0000)
Pm (0.2086, 0.3067, 0.4172)
Pm (0.8641, 0.2734, 0.7283)
Pm (0.7914, 0.6933, 0.5828)
Pm (0.1359, 0.7266, 0.2717)
Pb (0.9564, 0.7067, 0.9129)
Pb (0.0436, 0.2933, 0.0871)
Pb (0.6888, 0.0108, 0.3776)
Pb (0.3112, 0.9892, 0.6224)
Sr (0.5000, 0.0000, 0.0000)

Values from the calculation:
N(E_F) (states/eV/cell): 9.79
Space-group type: C2/m
E_form (eV per formula unit): -2.6

Entry from Alexandria via LeMat-Bulk: an optimized crystal structure of K2Pa3S8 (PBE-GGA).

Cell lengths 7.0159, 8.2334, 8.6578 Å; angles 118.39, 106.56, 90.00 degrees
Fractional coordinates of all 13 atoms:
S (0.9592, 0.6044, 0.2088)
S (0.0977, 0.9041, 0.8083)
S (0.0408, 0.3956, 0.7912)
S (0.6146, 0.6794, 0.8038)
S (0.3854, 0.3206, 0.1962)
S (0.6146, 0.1244, 0.8038)
S (0.9023, 0.0959, 0.1917)
S (0.3854, 0.8756, 0.1962)
Pa (0.0000, 0.7430, 0.0000)
Pa (0.5000, 0.0000, 0.0000)
Pa (0.0000, 0.2570, 0.0000)
K (0.3427, 0.2738, 0.5475)
K (0.6573, 0.7262, 0.4525)

Values from the calculation:
Distance to the lowest polymorph of the same formula (meV/atom): 0
Energy relative to the elements, uncorrected (meV/atom): -1580
N(E_F) (states/eV/cell): 8.25
Space-group type: C2/m

Entry from Alexandria via LeMat-Bulk: an optimized crystal structure of NpUSn (PBE-GGA).

Cell lengths 5.5077, 5.5077, 3.6539 Å; angles 76.90, 76.90, 39.17 degrees
Fractional coordinates of all 3 atoms:
U (0.4675, 0.4675, 0.9610)
Np (0.8488, 0.8488, 0.7290)
Sn (0.1593, 0.1593, 0.3469)

Values from the calculation:
Distance to the lowest polymorph of the same formula (meV/atom): 0
N(E_F) (states/eV/cell): 7.28
Space-group type: Cm
E_form (eV per formula unit): -0.3

Entry from Alexandria via LeMat-Bulk: an optimized crystal structure of YZr2Ru (PBE-GGA).

Cell lengths 3.3908, 4.1280, 6.4320 Å; angles 90.00, 90.00, 90.00 degrees
Fractional coordinates of all 4 atoms:
Zr (0.5000, 0.5000, 0.2721)
Zr (0.0000, 0.0000, 0.0445)
Y (0.5000, 0.5000, 0.7348)
Ru (0.0000, 0.0000, 0.4486)

Values from the calculation:
Distance to the lowest polymorph of the same formula (meV/atom): 269
N(E_F) (states/eV/cell): 4.74
Space-group type: Pmm2
E_form (eV per formula unit): 0.0

Entry from Alexandria via LeMat-Bulk: an optimized crystal structure of HoTmAl2Zn2 (PBE-GGA).

Cell lengths 4.4618, 4.4618, 7.0640 Å; angles 90.00, 90.00, 120.00 degrees
Fractional coordinates of all 6 atoms:
Tm (0.0000, 0.0000, 0.0000)
Zn (0.3333, 0.6667, 0.2416)
Zn (0.6667, 0.3333, 0.7584)
Al (0.3333, 0.6667, 0.7559)
Al (0.6667, 0.3333, 0.2441)
Ho (0.0000, 0.0000, 0.5000)

Values from the calculation:
N(E_F) (states/eV/cell): 2.93
Space-group type: P-3m1
E_form (eV per formula unit): -2.7

Entry from Alexandria via LeMat-Bulk: an optimized crystal structure of Sr2NdPd (PBE-GGA).

Cell lengths 3.9564, 3.9564, 11.6248 Å; angles 80.20, 80.20, 60.00 degrees
Fractional coordinates of all 4 atoms:
Pd (0.5000, 0.5000, 0.5000)
Sr (0.8896, 0.8896, 0.3312)
Sr (0.1104, 0.1104, 0.6688)
Nd (0.0000, 0.0000, 0.0000)

Values from the calculation:
N(E_F) (states/eV/cell): 3.55
Space-group type: R-3m
E_form (eV per formula unit): -0.1

Entry from Alexandria via LeMat-Bulk: an optimized crystal structure of Rb5ZnCl8 (PBE-GGA).

Cell lengths 8.8120, 8.8120, 8.8120 Å; angles 114.52, 99.79, 114.52 degrees
Fractional coordinates of all 14 atoms:
Rb (0.7466, 0.5924, 0.6136)
Rb (0.8458, 0.8670, 0.2534)
Rb (0.0212, 0.4076, 0.1542)
Rb (0.3864, 0.1330, 0.9788)
Rb (0.5000, 0.0000, 0.5000)
Cl (0.5493, 0.7646, 0.8759)
Cl (0.6996, 0.4053, 0.8960)
Cl (0.1113, 0.2354, 0.7847)
Cl (0.4907, 0.5947, 0.2943)
Cl (0.1241, 0.6734, 0.8887)
Cl (0.1040, 0.8036, 0.5093)
Cl (0.7057, 0.1964, 0.3004)
Cl (0.2153, 0.3266, 0.4507)
Zn (0.2500, 0.5000, 0.7500)

Values from the calculation:
Energy relative to the elements, uncorrected (meV/atom): -1540
N(E_F) (states/eV/cell): 13.64
Space-group type: I-4